[1]
! PuHg2Pd (PBE-GGA, optimized geometry); values from VASP
! - VASP energy: -19.56 eV per cell
! - Size of the total moment: 1.51 μB per atom
! - Mass density: 13.39 g/cm³
! - SG: R-3m, No. 166
&SYSTEM
  ibrav = 0, nat = 4, ntyp = 3
/
ATOMIC_SPECIES
Pu 244.00 Pu.upf
Hg 200.59 Hg.upf
Pd 106.42 Pd.upf
CELL_PARAMETERS angstrom
1.590 0.918 10.651
-1.590 0.918 10.651
0.000 -1.836 10.651
ATOMIC_POSITIONS crystal
Pu 0.000 0.000 0.000
Hg 0.098 0.098 0.098
Hg 0.902 0.902 0.902
Pd 0.500 0.500 0.500

---

[2]
! Lu2TlGa (PBE-GGA, optimized geometry); values from VASP
! - Size of the total moment: 0.00 μB per atom
! - Excess energy over the best structure of this formula in the dataset: 0 meV/atom
! - Mass density: 10.86 g/cm³
! - SG: P4/mmm, No. 123
&SYSTEM
  ibrav = 0, nat = 4, ntyp = 3
/
ATOMIC_SPECIES
Lu 174.97 Lu.upf
Tl 204.38 Tl.upf
Ga 69.72 Ga.upf
CELL_PARAMETERS angstrom
3.501 0.000 0.000
0.000 3.501 0.000
0.000 0.000 7.784
ATOMIC_POSITIONS crystal
Lu 0.000 0.000 0.228
Lu 0.000 0.000 0.772
Tl 0.500 0.500 0.500
Ga 0.500 0.500 0.000

---

[3]
! KNb5O13 (PBE-GGA, optimized geometry); values from VASP
! - Size of the total moment: 0.00 μB per atom
! - Raw formation energy: -2.533 eV per atom
! - Mass density: 4.35 g/cm³
! - SG: Pbcm, No. 57
&SYSTEM
  ibrav = 0, nat = 76, ntyp = 3
/
ATOMIC_SPECIES
K 39.10 K.upf
Nb 92.91 Nb.upf
O 16.00 O.upf
CELL_PARAMETERS angstrom
5.785 0.000 0.000
0.000 10.987 0.000
0.000 0.000 17.107
ATOMIC_POSITIONS crystal
K 0.207 0.178 0.250
K 0.207 0.322 0.750
K 0.793 0.678 0.250
K 0.793 0.822 0.750
Nb 0.162 0.570 0.076
Nb 0.162 0.570 0.424
Nb 0.162 0.930 0.576
Nb 0.162 0.930 0.924
Nb 0.325 0.250 0.000
Nb 0.325 0.250 0.500
Nb 0.348 0.628 0.637
Nb 0.348 0.628 0.863
Nb 0.348 0.872 0.137
Nb 0.348 0.872 0.363
Nb 0.652 0.128 0.637
Nb 0.652 0.128 0.863
Nb 0.652 0.372 0.137
Nb 0.652 0.372 0.363
Nb 0.675 0.750 0.000
Nb 0.675 0.750 0.500
Nb 0.838 0.070 0.076
Nb 0.838 0.070 0.424
Nb 0.838 0.430 0.576
Nb 0.838 0.430 0.924
O 0.091 0.517 0.635
O 0.091 0.517 0.865
O 0.091 0.983 0.135
O 0.091 0.983 0.365
O 0.128 0.109 0.502
O 0.128 0.109 0.998
O 0.128 0.391 0.002
O 0.128 0.391 0.498
O 0.134 0.718 0.129
O 0.134 0.718 0.371
O 0.134 0.782 0.629
O 0.134 0.782 0.871
O 0.354 0.624 0.512
O 0.354 0.624 0.988
O 0.354 0.876 0.012
O 0.354 0.876 0.488
O 0.369 0.650 0.750
O 0.369 0.850 0.250
O 0.406 0.004 0.635
O 0.406 0.004 0.865
O 0.406 0.249 0.110
O 0.406 0.249 0.390
O 0.406 0.251 0.610
O 0.406 0.251 0.890
O 0.406 0.496 0.135
O 0.406 0.496 0.365
O 0.594 0.504 0.635
O 0.594 0.504 0.865
O 0.594 0.749 0.110
O 0.594 0.749 0.390
O 0.594 0.751 0.610
O 0.594 0.751 0.890
O 0.594 0.996 0.135
O 0.594 0.996 0.365
O 0.631 0.150 0.750
O 0.631 0.350 0.250
O 0.646 0.124 0.512
O 0.646 0.124 0.988
O 0.646 0.376 0.012
O 0.646 0.376 0.488
O 0.866 0.218 0.129
O 0.866 0.218 0.371
O 0.866 0.282 0.629
O 0.866 0.282 0.871
O 0.872 0.609 0.502
O 0.872 0.609 0.998
O 0.872 0.891 0.002
O 0.872 0.891 0.498
O 0.909 0.017 0.635
O 0.909 0.017 0.865
O 0.909 0.483 0.135
O 0.909 0.483 0.365

---

[4]
! Pm3Sm4Mg (PBE-GGA, optimized geometry); values from VASP
! - Size of the total moment: 0.00 μB per atom
! - Excess energy over the best structure of this formula in the dataset: 0 meV/atom
! - Mass density: 6.69 g/cm³
! - SG: Pmn2_1, No. 31
&SYSTEM
  ibrav = 0, nat = 16, ntyp = 3
/
ATOMIC_SPECIES
Pm 145.00 Pm.upf
Sm 150.36 Sm.upf
Mg 24.30 Mg.upf
CELL_PARAMETERS angstrom
11.523 0.000 0.000
0.000 7.231 0.000
0.000 0.000 6.317
ATOMIC_POSITIONS crystal
Pm 0.000 0.128 0.000
Pm 0.242 0.122 0.655
Pm 0.258 0.878 0.155
Pm 0.500 0.872 0.500
Pm 0.742 0.878 0.155
Pm 0.758 0.122 0.655
Sm 0.000 0.383 0.469
Sm 0.000 0.628 0.992
Sm 0.242 0.629 0.648
Sm 0.258 0.371 0.148
Sm 0.500 0.372 0.492
Sm 0.500 0.617 0.969
Sm 0.742 0.371 0.148
Sm 0.758 0.629 0.648
Mg 0.000 0.878 0.487
Mg 0.500 0.122 0.987

---

[5]
! LiLaCdGe2 (PBE-GGA, optimized geometry); values from VASP
! - VASP energy: -19.69 eV per cell
! - Size of the total moment: 0.00 μB per atom
! - Mass density: 6.12 g/cm³
! - SG: I-4m2, No. 119
&SYSTEM
  ibrav = 0, nat = 5, ntyp = 4
/
ATOMIC_SPECIES
Li 6.94 Li.upf
La 138.91 La.upf
Cd 112.41 Cd.upf
Ge 72.64 Ge.upf
CELL_PARAMETERS angstrom
-2.169 2.169 5.820
2.169 -2.169 5.820
2.169 2.169 -5.820
ATOMIC_POSITIONS crystal
Li 0.000 0.000 0.000
La 0.750 0.250 0.500
Cd 0.500 0.500 0.000
Ge 0.142 0.642 0.500
Ge 0.358 0.858 0.500

---

[6]
! AlInFe (PBE-GGA, optimized geometry); values from VASP
! - VASP energy: -15.02 eV per cell
! - Size of the total moment: 0.39 μB per atom
! - Mass density: 6.15 g/cm³
! - SG: Pmmm, No. 47
&SYSTEM
  ibrav = 0, nat = 3, ntyp = 3
/
ATOMIC_SPECIES
Al 26.98 Al.upf
In 114.82 In.upf
Fe 55.84 Fe.upf
CELL_PARAMETERS angstrom
2.761 0.000 0.000
0.000 4.185 0.000
0.000 0.000 4.616
ATOMIC_POSITIONS crystal
Al 0.000 0.000 0.000
In 0.000 0.500 0.500
Fe 0.500 0.500 0.000

---

[7]
! Na3Zr3ZnSe8 (PBE-GGA, optimized geometry); values from VASP
! - Size of the total moment: 0.00 μB per atom
! - Raw formation energy: -1.180 eV per atom
! - Mass density: 4.67 g/cm³
! - SG: R-3m, No. 166
&SYSTEM
  ibrav = 0, nat = 15, ntyp = 4
/
ATOMIC_SPECIES
Na 22.99 Na.upf
Zr 91.22 Zr.upf
Zn 65.41 Zn.upf
Se 78.96 Se.upf
CELL_PARAMETERS angstrom
3.869 2.234 7.133
-3.869 2.234 7.133
0.000 -4.467 7.133
ATOMIC_POSITIONS crystal
Na 0.000 0.500 0.500
Na 0.500 0.000 0.500
Na 0.500 0.500 0.000
Zr 0.000 0.000 0.500
Zr 0.000 0.500 0.000
Zr 0.500 0.000 0.000
Zn 0.500 0.500 0.500
Se 0.239 0.738 0.738
Se 0.242 0.242 0.242
Se 0.262 0.262 0.761
Se 0.262 0.761 0.262
Se 0.738 0.239 0.738
Se 0.738 0.738 0.239
Se 0.758 0.758 0.758
Se 0.761 0.262 0.262

---

[8]
! InSiAs2Br (PBE-GGA, optimized geometry); values from VASP
! - Size of the total moment: 0.00 μB per atom
! - Raw formation energy: 1.173 eV per atom
! - Excess energy over the best structure of this formula in the dataset: 850 meV/atom
! - Mass density: 3.87 g/cm³
! - SG: P4/mmm, No. 123
&SYSTEM
  ibrav = 0, nat = 5, ntyp = 4
/
ATOMIC_SPECIES
In 114.82 In.upf
Si 28.09 Si.upf
As 74.92 As.upf
Br 79.90 Br.upf
CELL_PARAMETERS angstrom
5.303 0.000 0.000
0.000 5.303 0.000
0.000 0.000 5.689
ATOMIC_POSITIONS crystal
In 0.000 0.000 0.000
Si 0.500 0.500 0.000
As 0.000 0.500 0.500
As 0.500 0.000 0.500
Br 0.000 0.000 0.500

---

[9]
! Zn2Cu2Te (PBE-GGA, optimized geometry); values from VASP
! - Size of the total moment: 0.00 μB per atom
! - Raw formation energy: 0.189 eV per atom
! - Excess energy over the best structure of this formula in the dataset: 130 meV/atom
! - Mass density: 7.57 g/cm³
! - SG: P4/mbm, No. 127
&SYSTEM
  ibrav = 0, nat = 10, ntyp = 3
/
ATOMIC_SPECIES
Zn 65.41 Zn.upf
Cu 63.55 Cu.upf
Te 127.60 Te.upf
CELL_PARAMETERS angstrom
7.728 0.000 0.000
0.000 7.728 0.000
0.000 0.000 2.834
ATOMIC_POSITIONS crystal
Zn 0.171 0.329 0.000
Zn 0.329 0.829 0.000
Zn 0.671 0.171 0.000
Zn 0.829 0.671 0.000
Cu 0.116 0.616 0.500
Cu 0.384 0.116 0.500
Cu 0.616 0.884 0.500
Cu 0.884 0.384 0.500
Te 0.000 0.000 0.000
Te 0.500 0.500 0.000

---

[10]
! NbZnAu2 (PBE-GGA, optimized geometry); values from VASP
! - VASP energy: -18.57 eV per cell
! - Size of the total moment: 0.00 μB per atom
! - Mass density: 13.45 g/cm³
! - SG: P4/mmm, No. 123
&SYSTEM
  ibrav = 0, nat = 4, ntyp = 3
/
ATOMIC_SPECIES
Nb 92.91 Nb.upf
Zn 65.41 Zn.upf
Au 196.97 Au.upf
CELL_PARAMETERS angstrom
2.966 0.000 0.000
0.000 2.966 0.000
0.000 0.000 7.754
ATOMIC_POSITIONS crystal
Nb 0.000 0.000 0.000
Zn 0.000 0.000 0.500
Au 0.500 0.500 0.262
Au 0.500 0.500 0.738

---

[11]
! BaAs3 (PBE-GGA, optimized geometry); values from VASP
! - VASP energy: -15.74 eV per cell
! - Size of the total moment: 0.00 μB per atom
! - Mass density: 5.86 g/cm³
! - SG: R-3m, No. 166
&SYSTEM
  ibrav = 0, nat = 4, ntyp = 2
/
ATOMIC_SPECIES
Ba 137.33 Ba.upf
As 74.92 As.upf
CELL_PARAMETERS angstrom
5.156 2.977 1.115
-5.156 2.977 1.115
0.000 -5.954 1.115
ATOMIC_POSITIONS crystal
Ba 0.000 0.000 0.000
As 0.000 0.500 0.500
As 0.500 0.000 0.500
As 0.500 0.500 0.000

---

[12]
! BaS2N (PBE-GGA, optimized geometry); values from VASP
! - Size of the total moment: 0.23 μB per atom
! - Raw formation energy: -0.009 eV per atom
! - Mass density: 4.15 g/cm³
! - SG: I-42d, No. 122
&SYSTEM
  ibrav = 0, nat = 8, ntyp = 3
/
ATOMIC_SPECIES
Ba 137.33 Ba.upf
S 32.06 S.upf
N 14.01 N.upf
CELL_PARAMETERS angstrom
-3.121 3.121 4.424
3.121 -3.121 4.424
3.121 3.121 -4.424
ATOMIC_POSITIONS crystal
Ba 0.000 0.000 0.000
Ba 0.750 0.250 0.500
S 0.374 0.125 0.749
S 0.375 0.626 0.751
S 0.376 0.625 0.251
S 0.875 0.624 0.249
N 0.250 0.750 0.500
N 0.500 0.500 0.000

---

[13]
! Ba2PaMo2N6 (PBE-GGA, optimized geometry); values from VASP
! - Size of the total moment: 0.00 μB per atom
! - Raw formation energy: -0.878 eV per atom
! - Mass density: 6.30 g/cm³
! - SG: R-3m, No. 166
&SYSTEM
  ibrav = 0, nat = 11, ntyp = 4
/
ATOMIC_SPECIES
Ba 137.33 Ba.upf
Pa 231.04 Pa.upf
Mo 95.94 Mo.upf
N 14.01 N.upf
CELL_PARAMETERS angstrom
3.112 1.797 6.139
-3.112 1.797 6.139
0.000 -3.593 6.139
ATOMIC_POSITIONS crystal
Ba 0.216 0.216 0.216
Ba 0.784 0.784 0.784
Pa 0.000 0.000 0.000
Mo 0.429 0.429 0.429
Mo 0.571 0.571 0.571
N 0.242 0.242 0.751
N 0.242 0.751 0.242
N 0.249 0.758 0.758
N 0.751 0.242 0.242
N 0.758 0.249 0.758
N 0.758 0.758 0.249

---

[14]
! LaS2O6F2 (PBE-GGA, optimized geometry); values from VASP
! - Size of the total moment: 0.09 μB per atom
! - Raw formation energy: -1.802 eV per atom
! - Mass density: 3.10 g/cm³
! - SG: P-3m1, No. 164
&SYSTEM
  ibrav = 0, nat = 11, ntyp = 4
/
ATOMIC_SPECIES
La 138.91 La.upf
S 32.06 S.upf
O 16.00 O.upf
F 19.00 F.upf
CELL_PARAMETERS angstrom
6.039 0.000 0.000
-3.020 5.230 0.000
0.000 0.000 5.715
ATOMIC_POSITIONS crystal
La 0.000 0.000 0.000
S 0.333 0.667 0.704
S 0.667 0.333 0.296
O 0.198 0.396 0.779
O 0.198 0.802 0.779
O 0.396 0.198 0.221
O 0.604 0.802 0.779
O 0.802 0.198 0.221
O 0.802 0.604 0.221
F 0.333 0.667 0.389
F 0.667 0.333 0.611

---

[15]
! AcPm3PrEr (PBE-GGA, optimized geometry); values from VASP
! - VASP energy: -54.96 eV per cell
! - Size of the total moment: 0.00 μB per atom
! - Mass density: 7.53 g/cm³
! - SG: P2_1/m, No. 11
&SYSTEM
  ibrav = 0, nat = 12, ntyp = 4
/
ATOMIC_SPECIES
Ac 227.00 Ac.upf
Pm 145.00 Pm.upf
Pr 140.91 Pr.upf
Er 167.26 Er.upf
CELL_PARAMETERS angstrom
8.271 0.000 0.000
0.000 5.229 0.000
-3.343 0.000 9.891
ATOMIC_POSITIONS crystal
Ac 0.169 0.250 0.294
Ac 0.831 0.750 0.706
Pm 0.170 0.750 0.041
Pm 0.171 0.250 0.791
Pm 0.173 0.750 0.546
Pm 0.827 0.250 0.454
Pm 0.829 0.750 0.209
Pm 0.830 0.250 0.959
Pr 0.496 0.750 0.874
Pr 0.504 0.250 0.126
Er 0.498 0.250 0.625
Er 0.502 0.750 0.375

---

[16]
! Pu4C2Br5 (PBE-GGA, optimized geometry); values from VASP
! - Size of the total moment: 1.91 μB per atom
! - Raw formation energy: -1.052 eV per atom
! - Mass density: 8.17 g/cm³
! - SG: C2/m, No. 12
&SYSTEM
  ibrav = 0, nat = 11, ntyp = 3
/
ATOMIC_SPECIES
Pu 244.00 Pu.upf
C 12.01 C.upf
Br 79.90 Br.upf
CELL_PARAMETERS angstrom
9.323 -1.916 0.000
9.323 1.916 0.000
-1.679 0.000 7.964
ATOMIC_POSITIONS crystal
Pu 0.000 0.000 0.195
Pu 0.000 0.000 0.805
Pu 0.338 0.338 0.920
Pu 0.662 0.662 0.080
C 0.461 0.461 0.982
C 0.539 0.539 0.018
Br 0.161 0.161 0.347
Br 0.167 0.167 0.809
Br 0.500 0.500 0.500
Br 0.833 0.833 0.191
Br 0.839 0.839 0.653

---

[17]
! Cs3InC (PBE-GGA, optimized geometry); values from VASP
! - VASP energy: -8.06 eV per cell
! - Size of the total moment: 0.60 μB per atom
! - Mass density: 2.23 g/cm³
! - SG: Pm-3m, No. 221
&SYSTEM
  ibrav = 0, nat = 5, ntyp = 3
/
ATOMIC_SPECIES
Cs 132.91 Cs.upf
In 114.82 In.upf
C 12.01 C.upf
CELL_PARAMETERS angstrom
7.313 0.000 0.000
0.000 7.313 0.000
0.000 0.000 7.313
ATOMIC_POSITIONS crystal
Cs 0.000 0.000 0.500
Cs 0.000 0.500 0.000
Cs 0.500 0.000 0.000
In 0.000 0.000 0.000
C 0.500 0.500 0.500

---

[18]
! Er6TeSe5 (PBE-GGA, optimized geometry); values from VASP
! - Size of the total moment: 0.00 μB per atom
! - Raw formation energy: -1.606 eV per atom
! - Mass density: 8.74 g/cm³
! - SG: C2/m, No. 12
&SYSTEM
  ibrav = 0, nat = 12, ntyp = 3
/
ATOMIC_SPECIES
Er 167.26 Er.upf
Te 127.60 Te.upf
Se 78.96 Se.upf
CELL_PARAMETERS angstrom
3.533 -6.155 0.000
3.533 6.155 0.000
-2.393 0.000 6.670
ATOMIC_POSITIONS crystal
Er 0.061 0.410 0.228
Er 0.237 0.237 0.761
Er 0.410 0.061 0.228
Er 0.590 0.939 0.772
Er 0.763 0.763 0.239
Er 0.939 0.590 0.772
Te 0.500 0.500 0.500
Se 0.000 0.000 0.000
Se 0.169 0.831 0.500
Se 0.342 0.658 0.000
Se 0.658 0.342 0.000
Se 0.831 0.169 0.500

---

[19]
! SrSnI6 (PBE-GGA, optimized geometry); values from VASP
! - Size of the total moment: 0.00 μB per atom
! - Raw formation energy: -0.735 eV per atom
! - Excess energy over the best structure of this formula in the dataset: 4 meV/atom
! - Mass density: 4.20 g/cm³
! - SG: C2/m, No. 12
&SYSTEM
  ibrav = 0, nat = 8, ntyp = 3
/
ATOMIC_SPECIES
Sr 87.62 Sr.upf
Sn 118.71 Sn.upf
I 126.90 I.upf
CELL_PARAMETERS angstrom
3.914 -6.716 0.000
3.914 6.716 0.000
-2.296 0.000 7.285
ATOMIC_POSITIONS crystal
Sr 0.000 0.000 0.000
Sn 0.500 0.500 0.500
I 0.130 0.443 0.272
I 0.259 0.259 0.728
I 0.443 0.130 0.272
I 0.557 0.870 0.728
I 0.741 0.741 0.272
I 0.870 0.557 0.728

---

[20]
! Li2SiAs (PBE-GGA, optimized geometry); values from VASP
! - Size of the total moment: 0.00 μB per atom
! - Raw formation energy: -0.132 eV per atom
! - Excess energy over the best structure of this formula in the dataset: 165 meV/atom
! - Mass density: 2.94 g/cm³
! - SG: I-42d, No. 122
&SYSTEM
  ibrav = 0, nat = 8, ntyp = 3
/
ATOMIC_SPECIES
Li 6.94 Li.upf
Si 28.09 Si.upf
As 74.92 As.upf
CELL_PARAMETERS angstrom
-1.923 1.923 8.915
1.923 -1.923 8.915
1.923 1.923 -8.915
ATOMIC_POSITIONS crystal
Li 0.125 0.625 0.000
Li 0.375 0.375 0.500
Li 0.625 0.125 0.000
Li 0.875 0.875 0.500
Si 0.000 0.000 0.000
Si 0.750 0.250 0.500
As 0.250 0.750 0.500
As 0.500 0.500 0.000